Record 1
Compound: YCdCu
Source: Alexandria via LeMat-Bulk
Functional: PBE
Structure: relaxed

a b c (Å): 4.647 4.647 3.469
angles (deg): 90.00 90.00 120.00
Sites, in units of the cell vectors:
Cd 0.000 0.000 0.166
Y 0.333 0.667 0.666
Cu 0.667 0.333 0.167

Computed properties:
Energy of formation from the pure elements: -0.66 eV per formula unit
Magnetic moment: 0.00 μB per cell
E_tot: -4.045 eV per atom

***

Record 2
Compound: YCd8Cu4
Source: Alexandria via LeMat-Bulk
Functional: PBE
Structure: relaxed

a b c (Å): 5.364 7.302 7.302
angles (deg): 82.25 68.45 68.45
Sites, in units of the cell vectors:
Cd 0.000 0.340 0.660
Cd 0.285 0.215 0.215
Cu 0.000 0.500 0.000
Cd 0.000 0.660 0.340
Cd 0.715 0.785 0.785
Cu 0.500 0.500 0.000
Cd 0.340 0.660 0.660
Cu 0.000 0.000 0.500
Cu 0.500 0.000 0.500
Y 0.000 0.000 0.000
Cd 0.500 0.215 0.785
Cd 0.500 0.785 0.215
Cd 0.660 0.340 0.340

Computed properties:
Energy of formation from the pure elements: -1.14 eV per formula unit
Magnetic moment: 0.00 μB per cell
E_tot: -2.408 eV per atom

***

Record 3
Compound: YCd2Cu
Source: Alexandria via LeMat-Bulk
Functional: PBE
Structure: relaxed

a b c (Å): 4.266 4.270 4.834
angles (deg): 90.00 90.00 90.00
Sites, in units of the cell vectors:
Cd 0.000 0.000 0.000
Y 0.000 0.500 0.500
Cd 0.500 0.500 0.000
Cu 0.500 0.000 0.500

Computed properties:
Energy of formation from the pure elements: -0.47 eV per formula unit
Magnetic moment: 0.00 μB per cell
E_tot: -3.215 eV per atom

***

Record 4
Compound: YCd2Cu
Source: Alexandria via LeMat-Bulk
Functional: PBE
Structure: relaxed

a b c (Å): 4.205 4.205 11.040
angles (deg): 79.02 79.02 90.00
Sites, in units of the cell vectors:
Cd 0.375 0.400 0.750
Cd 0.150 0.625 0.250
Cd 0.875 0.850 0.750
Cd 0.600 0.125 0.250
Y 0.000 0.000 0.000
Cu 0.500 0.500 0.000
Cu 0.250 0.750 0.500
Y 0.750 0.250 0.500

Computed properties:
Energy of formation from the pure elements: 0.23 eV per formula unit
Magnetic moment: 0.00 μB per cell
E_tot: -3.041 eV per atom

***

Record 5
Compound: Y2Zn3CdCu12
Source: Alexandria via LeMat-Bulk
Functional: PBE
Structure: relaxed

a b c (Å): 6.570 6.570 6.570
angles (deg): 85.29 85.29 85.29
Sites, in units of the cell vectors:
Cu 0.865 0.416 0.416
Cu 0.584 0.584 0.135
Zn 0.500 0.000 0.000
Cu 0.584 0.135 0.584
Y 0.294 0.294 0.294
Cu 0.798 0.289 0.798
Cd 0.000 0.000 0.000
Zn 0.000 0.000 0.500
Cu 0.416 0.416 0.865
Cu 0.202 0.711 0.202
Cu 0.202 0.202 0.711
Cu 0.416 0.865 0.416
Cu 0.289 0.798 0.798
Cu 0.798 0.798 0.289
Cu 0.135 0.584 0.584
Y 0.706 0.706 0.706
Cu 0.711 0.202 0.202
Zn 0.000 0.500 0.000

Computed properties:
Energy of formation from the pure elements: 1.16 eV per formula unit
Magnetic moment: 0.00 μB per cell
E_tot: -3.648 eV per atom

***

Record 6
Compound: Zn3CdCu2
Source: Alexandria via LeMat-Bulk
Functional: PBE
Structure: relaxed

a b c (Å): 5.052 6.151 6.151
angles (deg): 91.96 90.00 90.00
Sites, in units of the cell vectors:
Cd 0.750 0.620 0.620
Cu 0.000 0.247 0.753
Cu 0.500 0.753 0.247
Cu 0.000 0.753 0.247
Zn 0.250 0.570 0.924
Cd 0.250 0.380 0.380
Cu 0.500 0.247 0.753
Zn 0.750 0.076 0.430
Zn 0.250 0.924 0.570
Zn 0.750 0.974 0.974
Zn 0.250 0.026 0.026
Zn 0.750 0.430 0.076

Computed properties:
Energy of formation from the pure elements: 0.02 eV per formula unit
Magnetic moment: 0.00 μB per cell
E_tot: -2.152 eV per atom

***

Record 7
Compound: ZnCd3Cu
Source: Alexandria via LeMat-Bulk
Functional: PBE
Structure: relaxed

a b c (Å): 5.055 5.055 5.055
angles (deg): 90.00 90.00 90.00
Sites, in units of the cell vectors:
Cu 0.000 0.000 0.000
Zn 0.500 0.500 0.500
Cd 0.000 0.500 0.000
Cd 0.500 0.000 0.000
Cd 0.000 0.000 0.500

Computed properties:
ΔE to the lowest computed polymorph: 0 meV per atom
Energy of formation from the pure elements: 1.55 eV per formula unit
Magnetic moment: 0.00 μB per cell
E_tot: -1.313 eV per atom

***

Record 8
Compound: Zn2CdCu8
Source: Alexandria via LeMat-Bulk
Functional: PBE
Structure: relaxed

a b c (Å): 2.818 6.734 8.045
angles (deg): 75.47 100.37 90.17
Sites, in units of the cell vectors:
Cd 0.500 0.000 0.000
Cu 0.942 0.706 0.884
Cu 0.578 0.585 0.158
Cu 0.422 0.415 0.842
Cu 0.792 0.604 0.584
Zn 0.161 0.800 0.324
Cu 0.208 0.396 0.416
Cu 0.684 0.099 0.371
Cu 0.058 0.294 0.116
Cu 0.316 0.901 0.629
Zn 0.839 0.200 0.676

Computed properties:
Energy of formation from the pure elements: 0.03 eV per formula unit
Magnetic moment: 0.00 μB per cell
E_tot: -3.291 eV per atom

***

Which value of E_tot does entry 7 give?
-1.313 eV per atom

***

Copy entry 2 word for word.
Compound: YCd8Cu4
Source: Alexandria via LeMat-Bulk
Functional: PBE
Structure: relaxed

a b c (Å): 5.364 7.302 7.302
angles (deg): 82.25 68.45 68.45
Sites, in units of the cell vectors:
Cd 0.000 0.340 0.660
Cd 0.285 0.215 0.215
Cu 0.000 0.500 0.000
Cd 0.000 0.660 0.340
Cd 0.715 0.785 0.785
Cu 0.500 0.500 0.000
Cd 0.340 0.660 0.660
Cu 0.000 0.000 0.500
Cu 0.500 0.000 0.500
Y 0.000 0.000 0.000
Cd 0.500 0.215 0.785
Cd 0.500 0.785 0.215
Cd 0.660 0.340 0.340

Computed properties:
Energy of formation from the pure elements: -1.14 eV per formula unit
Magnetic moment: 0.00 μB per cell
E_tot: -2.408 eV per atom